Record 1
A geometry-optimized NaCa2LaAu structure. Source: Alexandria, functional PBE.

Results
Crystal system: tetragonal
Energy relative to the elements, eV/f.u.: -1.14
Final energy, eV per cell: -14.7

Structure (extended XYZ):
```
5
Lattice="5.861 0.000 0.000 0.000 5.861 0.000 0.000 0.000 5.785" Properties=species:S:1:pos:R:3 pbc="T T T"
Na 0.000 0.000 0.000
Ca 0.000 2.931 2.893
Ca 2.931 0.000 2.893
La 2.931 2.931 0.000
Au 2.931 2.931 2.893
```

=====

Record 2
A geometry-optimized Th2PdSe structure. Source: Alexandria, functional PBE.

Results
Energy relative to the elements, uncorrected, eV/atom: -1.07
Crystal system: trigonal
Final energy, eV per cell: -27.8

Structure (extended XYZ):
```
4
Lattice="2.083 1.203 7.197 -2.083 1.203 7.197 0.000 -2.405 7.197" Properties=species:S:1:pos:R:3 pbc="T T T"
Th 0.000 0.000 5.314
Th 0.000 0.000 16.277
Pd 0.000 0.000 10.795
Se 0.000 0.000 0.000
```